1.
AgSbPb2 | PBEsol | relaxed

Summary:
- Raw total energy: -0.2848 Ry/atom
- Spin magnetization: 0.00 μB/f.u.
- N(E_F): 0.3798 states/eV per atom
- Space-group type: No. 6
- Raw formation energy: 0.364 eV per formula unit

Cell: 3.4994 4.6273 6.6549 Å, 90.00 105.38 90.00°
With the nearest neighbours (Å) after each atom.
Fractional positions:
Pb: 0.9116 0.0000 0.9520  4 Ag 3.11, 2 Sb 3.32-3.34
Pb: 0.5701 0.5000 0.2617  1 Ag 3.12, 4 Sb 3.31
Ag: 0.3228 0.5000 0.7756  2 Sb 2.87, 5 Pb 3.11-3.12
Sb: 0.1955 0.0000 0.5108  2 Ag 2.87


2.
AgSb2Pb | PBEsol | relaxed

Summary:
- Raw total energy: -0.2916 Ry/atom
- Spin magnetization: 0.00 μB/f.u.
- N(E_F): 0.4368 states/eV per atom
- Space-group type: No. 99
- Raw formation energy: 0.553 eV per formula unit

Cell: 3.7588 3.7588 7.1574 Å, 90.00 90.00 90.00°
With the nearest neighbours (Å) after each atom.
Fractional positions:
Ag: 0.0000 0.0000 0.4816  5 Sb 3.09-3.11, 4 Pb 3.12
Pb: 0.5000 0.5000 0.7095  4 Ag 3.12, 1 Sb 3.21
Sb: 0.0000 0.0000 0.0477  4 Sb 3.07, 1 Ag 3.11
Sb: 0.5000 0.5000 0.2612  4 Sb 3.07, 4 Ag 3.09, 1 Pb 3.21


3.
Ag2Sb2Pb | PBEsol | relaxed

Summary:
- Raw total energy: -0.2831 Ry/atom
- Spin magnetization: 0.00 μB/f.u.
- N(E_F): 0.4583 states/eV per atom
- Space-group type: No. 139
- Raw formation energy: 0.479 eV per formula unit

Cell: 3.9490 3.9490 8.2817 Å, 103.79 103.79 90.00°
With the nearest neighbours (Å) after each atom.
Fractional positions:
Sb: 0.6163 0.6163 0.2325  4 Ag 2.87
Ag: 0.7500 0.2500 0.5000  4 Ag 2.79, 4 Sb 2.87
Ag: 0.2500 0.7500 0.5000  4 Ag 2.79, 4 Sb 2.87
Pb: 0.0000 0.0000 0.0000  8 Sb 3.33
Sb: 0.3837 0.3837 0.7675  4 Ag 2.87


4.
AgSbPb2 | PBEsol | relaxed

Summary:
- Raw total energy: -0.2851 Ry/atom
- Spin magnetization: 0.00 μB/f.u.
- N(E_F): 0.4895 states/eV per atom
- Space-group type: No. 99
- Raw formation energy: 0.348 eV per formula unit

Cell: 3.3416 3.3416 9.1257 Å, 90.00 90.00 90.00°
With the nearest neighbours (Å) after each atom.
Fractional positions:
Sb: 0.0000 0.0000 0.4615  4 Ag 2.99, 4 Sb 3.34
Pb: 0.0000 0.0000 0.0338  4 Ag 3.14, 4 Pb 3.34
Ag: 0.5000 0.5000 0.2612  4 Sb 2.99, 4 Pb 3.14, 4 Ag 3.34
Pb: 0.5000 0.5000 0.7434  8 Pb 3.34-3.55, 4 Sb 3.49


5.
AgSbPb2 | PBEsol | relaxed

Summary:
- Raw total energy: -0.2845 Ry/atom
- Spin magnetization: 0.00 μB/f.u.
- N(E_F): 0.4299 states/eV per atom
- Space-group type: No. 160
- Raw formation energy: 0.382 eV per formula unit

Cell: 3.4088 3.4088 10.3930 Å, 80.56 80.56 60.00°
With the nearest neighbours (Å) after each atom.
Fractional positions:
Sb: 0.5116 0.5116 0.4653  3 Ag 2.89
Pb: 0.9894 0.9894 0.0319  3 Ag 3.03
Ag: 0.2474 0.2474 0.2579  3 Sb 2.89, 3 Pb 3.03
Pb: 0.7517 0.7517 0.7449  9 Pb 3.41-3.53, 3 Sb 3.47


6.
AgSb4Pb | PBEsol | relaxed

Summary:
- Raw total energy: -0.2869 Ry/atom
- Spin magnetization: 0.00 μB/f.u.
- N(E_F): 0.3518 states/eV per atom
- Space-group type: No. 216
- Raw formation energy: 2.115 eV per formula unit

Cell: 6.1772 6.1772 6.1772 Å, 60.00 60.00 60.00°
With the nearest neighbours (Å) after each atom.
Fractional positions:
Pb: 0.0000 0.0000 0.0000  12 Sb 3.62, 4 Ag 3.78
Sb: 0.3753 0.3753 0.8741  6 Sb 3.08-3.10
Ag: 0.7500 0.7500 0.7500  12 Sb 3.62, 4 Pb 3.78
Sb: 0.8741 0.3753 0.3753  6 Sb 3.08-3.10
Sb: 0.3753 0.8741 0.3753  6 Sb 3.08-3.10
Sb: 0.3753 0.3753 0.3753  6 Sb 3.08-3.10


7.
AgSb2Pb | PBEsol | relaxed

Summary:
- Raw total energy: -0.2927 Ry/atom
- Spin magnetization: 0.00 μB/f.u.
- N(E_F): 0.5176 states/eV per atom
- Space-group type: No. 47
- Raw formation energy: 0.494 eV per formula unit

Cell: 3.2487 4.0196 7.6660 Å, 90.00 89.99 90.00°
With the nearest neighbours (Å) after each atom.
Fractional positions:
Pb: 0.5000 0.5000 0.5000  2 Pb 3.25, 8 Sb 3.41
Sb: 0.9985 0.0000 0.7904  4 Ag 3.04-3.05, 3 Sb 3.21-3.25
Sb: 0.0015 0.0000 0.2096  4 Ag 3.04-3.05, 3 Sb 3.21-3.25
Ag: 0.5000 0.5000 0.0000  8 Sb 3.04-3.05, 2 Ag 3.25


8.
ScAgPb2 | PBEsol | relaxed

Summary:
- Raw total energy: -0.3379 Ry/atom
- Spin magnetization: 0.00 μB/f.u.
- N(E_F): 0.6578 states/eV per atom
- Space-group type: No. 25
- DFT formation energy: -0.12 eV/atom

Cell: 3.4716 4.2879 6.2354 Å, 90.00 90.00 90.00°
With the nearest neighbours (Å) after each atom.
Fractional positions:
Sc: 0.0000 0.0000 0.4925  6 Pb 3.00-3.24, 4 Ag 3.20
Ag: 0.5000 0.5000 0.7522  5 Pb 2.93-3.08, 4 Sc 3.20
Pb: 0.0000 0.0000 0.9729  2 Sc 3.00-3.24, 4 Ag 3.08
Pb: 0.5000 0.5000 0.2824  1 Ag 2.93, 4 Sc 3.05


9.
ScAgPb2 | PBEsol | relaxed

Summary:
- Raw total energy: -0.3417 Ry/atom
- Spin magnetization: 0.00 μB/f.u.
- N(E_F): 0.5393 states/eV per atom
- Space-group type: No. 8
- DFT formation energy: -0.17 eV/atom

Cell: 3.4411 5.0572 5.8697 Å, 108.62 107.04 90.00°
With the nearest neighbours (Å) after each atom.
Fractional positions:
Pb: 0.7589 0.3182 0.5178  4 Ag 3.06-3.07, 3 Sc 3.08-3.17, 3 Pb 3.35-3.42
Pb: 0.9938 0.9379 0.9876  4 Sc 3.04-3.09, 3 Ag 3.05-3.21, 1 Pb 3.35
Ag: 0.2386 0.8011 0.4772  7 Pb 3.05-3.21, 2 Sc 3.13
Sc: 0.5087 0.4428 0.0173  7 Pb 3.04-3.17, 2 Ag 3.13


10.
ScAgPb | PBEsol | relaxed

Summary:
- Raw total energy: -0.3590 Ry/atom
- Spin magnetization: 0.00 μB/f.u.
- N(E_F): 0.5783 states/eV per atom
- Space-group type: No. 156
- DFT formation energy: -0.25 eV/atom

Cell: 3.2466 4.7617 4.7617 Å, 120.00 90.00 90.00°
With the nearest neighbours (Å) after each atom.
Fractional positions:
Ag: 0.8480 0.0000 0.0000  3 Pb 2.75
Pb: 0.8176 0.3333 0.6667  3 Ag 2.75
Sc: 0.3344 0.6667 0.3333  6 Pb 3.17-3.22, 6 Ag 3.17-3.22, 2 Sc 3.25


11.
ScAgPb2 | PBEsol | relaxed

Summary:
- Raw total energy: -0.3423 Ry/atom
- Spin magnetization: 0.00 μB/f.u.
- N(E_F): 0.5760 states/eV per atom
- Space-group type: No. 119
- DFT formation energy: -0.18 eV/atom

Cell: 4.2655 4.2655 5.8251 Å, 111.48 111.48 90.00°
With the nearest neighbours (Å) after each atom.
Fractional positions:
Pb: 0.0000 0.0000 0.0000  4 Sc 3.02, 4 Pb 3.28, 4 Ag 3.28
Pb: 0.7500 0.2500 0.5000  4 Ag 3.02, 4 Pb 3.28, 4 Sc 3.28
Sc: 0.5000 0.5000 0.0000  8 Pb 3.02-3.28, 4 Ag 3.28
Ag: 0.2500 0.7500 0.5000  8 Pb 3.02-3.28, 4 Sc 3.28


12.
ScAgPb2 | PBEsol | relaxed

Summary:
- Raw total energy: -0.3401 Ry/atom
- Spin magnetization: 0.00 μB/f.u.
- N(E_F): 0.5641 states/eV per atom
- Space-group type: No. 44
- DFT formation energy: -0.15 eV/atom

Cell: 3.5026 4.9229 6.1511 Å, 113.59 106.54 90.00°
With the nearest neighbours (Å) after each atom.
Fractional positions:
Ag: 0.2411 0.7411 0.4822  2 Sc 3.00, 6 Pb 3.03-3.17
Pb: 0.9876 0.9876 0.9752  4 Sc 3.03, 2 Ag 3.17, 2 Pb 3.38
Pb: 0.7578 0.2578 0.5156  4 Ag 3.03, 2 Sc 3.25, 2 Pb 3.38
Sc: 0.5135 0.5135 0.0270  2 Ag 3.00, 6 Pb 3.03-3.25


The records above give, respectively, density values of 10.29 9.17 9.10 10.49 10.41 7.99 9.27 10.15 10.23 9.38 10.39 10.19 g/cm3.